(1)
Compound: AcMg2Tl
Source: the Alexandria database
Functional: PBE
Structure: optimized geometry

Output
**Calculated formation energy**: -0.9 eV/f.u.
**SG**: Cmcm
**DFT total energy**: -2.640 eV/atom

a b c (Å): 5.0727 11.7909 7.7429
angles (deg): 90.00 90.00 90.00
Positions (direct):
Ac (0.0000, 0.0841, 0.2500)
Ac (0.0000, 0.9159, 0.7500)
Ac (0.5000, 0.4159, 0.7500)
Ac (0.5000, 0.5841, 0.2500)
Mg (0.0000, 0.3731, 0.0565)
Mg (0.0000, 0.3731, 0.4435)
Mg (0.0000, 0.6269, 0.5565)
Mg (0.0000, 0.6269, 0.9435)
Mg (0.5000, 0.1269, 0.5565)
Mg (0.5000, 0.1269, 0.9435)
Mg (0.5000, 0.8731, 0.0565)
Mg (0.5000, 0.8731, 0.4435)
Tl (0.0000, 0.2067, 0.7500)
Tl (0.0000, 0.7933, 0.2500)
Tl (0.5000, 0.2933, 0.2500)
Tl (0.5000, 0.7067, 0.7500)

(2)
Compound: Ac3Mg3Tl2
Source: the Alexandria database
Functional: PBE
Structure: optimized geometry

Output
**Calculated formation energy**: -1.7 eV/f.u.
**SG**: Cmcm
**DFT total energy**: -2.941 eV/atom

a b c (Å): 6.5536 6.5536 16.9128
angles (deg): 90.00 90.00 134.17
Positions (direct):
Ac (0.0911, 0.9089, 0.6101)
Ac (0.0911, 0.9089, 0.8899)
Ac (0.3748, 0.6252, 0.7500)
Ac (0.6252, 0.3748, 0.2500)
Ac (0.9089, 0.0911, 0.1101)
Ac (0.9089, 0.0911, 0.3899)
Mg (0.3347, 0.6653, 0.2500)
Mg (0.3776, 0.6224, 0.5329)
Mg (0.3776, 0.6224, 0.9671)
Mg (0.6224, 0.3776, 0.0329)
Mg (0.6224, 0.3776, 0.4671)
Mg (0.6653, 0.3347, 0.7500)
Tl (0.2006, 0.7994, 0.1045)
Tl (0.2006, 0.7994, 0.3955)
Tl (0.7994, 0.2006, 0.6045)
Tl (0.7994, 0.2006, 0.8955)

(3)
Compound: Ac6MgTl5
Source: the Alexandria database
Functional: PBE
Structure: optimized geometry

Output
**Calculated formation energy**: -3.7 eV/f.u.
**SG**: Immm
**DFT total energy**: -3.481 eV/atom

a b c (Å): 10.1464 10.1464 10.1464
angles (deg): 146.51 132.16 59.65
Positions (direct):
Ac (0.0802, 0.3317, 0.7484)
Ac (0.2464, 0.0000, 0.2464)
Ac (0.4167, 0.6683, 0.7484)
Ac (0.5833, 0.3317, 0.2516)
Ac (0.7536, 0.0000, 0.7536)
Ac (0.9198, 0.6683, 0.2516)
Mg (0.5000, 0.5000, 0.0000)
Tl (0.0000, 0.5000, 0.5000)
Tl (0.1670, 0.1670, 0.0000)
Tl (0.3399, 0.8399, 0.5000)
Tl (0.6601, 0.1601, 0.5000)
Tl (0.8330, 0.8330, 0.0000)

(4)
Compound: AcMgTl5
Source: the Alexandria database
Functional: PBE
Structure: optimized geometry

Output
**Calculated formation energy**: -1.2 eV/f.u.
**SG**: P4/mmm
**DFT total energy**: -2.673 eV/atom

a b c (Å): 5.2014 5.2014 7.9165
angles (deg): 90.00 90.00 90.00
Positions (direct):
Ac (0.0000, 0.0000, 0.0000)
Mg (0.0000, 0.0000, 0.5000)
Tl (0.0000, 0.5000, 0.2950)
Tl (0.0000, 0.5000, 0.7050)
Tl (0.5000, 0.0000, 0.2950)
Tl (0.5000, 0.0000, 0.7050)
Tl (0.5000, 0.5000, 0.0000)

(5)
Compound: AcMg3Tl2
Source: the Alexandria database
Functional: PBE
Structure: optimized geometry

Output
**Calculated formation energy**: -1.2 eV/f.u.
**SG**: C2/m
**DFT total energy**: -2.477 eV/atom

a b c (Å): 9.2469 9.2469 8.8170
angles (deg): 115.75 115.75 29.69
Positions (direct):
Ac (0.1414, 0.1414, 0.0601)
Ac (0.8586, 0.8586, 0.9399)
Mg (0.0487, 0.0487, 0.3888)
Mg (0.3097, 0.3097, 0.5376)
Mg (0.4044, 0.4044, 0.3206)
Mg (0.5956, 0.5956, 0.6794)
Mg (0.6903, 0.6903, 0.4624)
Mg (0.9513, 0.9513, 0.6112)
Tl (0.2058, 0.2058, 0.7278)
Tl (0.4783, 0.4783, 0.8180)
Tl (0.5217, 0.5217, 0.1820)
Tl (0.7942, 0.7942, 0.2722)

(6)
Compound: Ac6Mg15Tl8
Source: the Alexandria database
Functional: PBE
Structure: optimized geometry

Output
**Calculated formation energy**: -4.5 eV/f.u.
**SG**: Fm-3m
**DFT total energy**: -2.481 eV/atom

a b c (Å): 10.5371 10.5371 10.5371
angles (deg): 60.00 60.00 60.00
Positions (direct):
Ac (0.2068, 0.2068, 0.7932)
Ac (0.2068, 0.7932, 0.2068)
Ac (0.2068, 0.7932, 0.7932)
Ac (0.7932, 0.2068, 0.2068)
Ac (0.7932, 0.2068, 0.7932)
Ac (0.7932, 0.7932, 0.2068)
Mg (0.0000, 0.0000, 0.5000)
Mg (0.0000, 0.5000, 0.0000)
Mg (0.0000, 0.5000, 0.5000)
Mg (0.1711, 0.1711, 0.1711)
Mg (0.1711, 0.1711, 0.4866)
Mg (0.1711, 0.4866, 0.1711)
Mg (0.4866, 0.1711, 0.1711)
Mg (0.5000, 0.0000, 0.0000)
Mg (0.5000, 0.0000, 0.5000)
Mg (0.5000, 0.5000, 0.0000)
Mg (0.5000, 0.5000, 0.5000)
Mg (0.5134, 0.8289, 0.8289)
Mg (0.8289, 0.5134, 0.8289)
Mg (0.8289, 0.8289, 0.5134)
Mg (0.8289, 0.8289, 0.8289)
Tl (0.1219, 0.6260, 0.6260)
Tl (0.3740, 0.3740, 0.3740)
Tl (0.3740, 0.3740, 0.8781)
Tl (0.3740, 0.8781, 0.3740)
Tl (0.6260, 0.1219, 0.6260)
Tl (0.6260, 0.6260, 0.1219)
Tl (0.6260, 0.6260, 0.6260)
Tl (0.8781, 0.3740, 0.3740)

(7)
Compound: Ac4Mg3Tl5
Source: the Alexandria database
Functional: PBE
Structure: optimized geometry

Output
**Calculated formation energy**: -1.0 eV/f.u.
**SG**: C2/m
**DFT total energy**: -2.841 eV/atom

a b c (Å): 9.1583 9.1583 11.4568
angles (deg): 126.41 126.41 34.25
Positions (direct):
Ac (0.0141, 0.0141, 0.1939)
Ac (0.2639, 0.2639, 0.2525)
Ac (0.7361, 0.7361, 0.7475)
Ac (0.9859, 0.9859, 0.8061)
Mg (0.0000, 0.0000, 0.5000)
Mg (0.2802, 0.2802, 0.5744)
Mg (0.7198, 0.7198, 0.4256)
Tl (0.2138, 0.2138, 0.9024)
Tl (0.3922, 0.3922, 0.8984)
Tl (0.5000, 0.5000, 0.5000)
Tl (0.6078, 0.6078, 0.1016)
Tl (0.7862, 0.7862, 0.0976)

(8)
Compound: Ac5Mg2Tl4
Source: the Alexandria database
Functional: PBE
Structure: optimized geometry

Output
**Calculated formation energy**: -2.0 eV/f.u.
**SG**: C2/m
**DFT total energy**: -3.196 eV/atom

a b c (Å): 11.9539 11.9539 9.1111
angles (deg): 112.35 112.35 19.22
Positions (direct):
Ac (0.0000, 0.0000, 0.0000)
Ac (0.3417, 0.3417, 0.0591)
Ac (0.3416, 0.3416, 0.6239)
Ac (0.6584, 0.6584, 0.3761)
Ac (0.6583, 0.6583, 0.9409)
Mg (0.0757, 0.0757, 0.5760)
Mg (0.9243, 0.9243, 0.4240)
Tl (0.2126, 0.2126, 0.7127)
Tl (0.5002, 0.5002, 0.3114)
Tl (0.4998, 0.4998, 0.6886)
Tl (0.7874, 0.7874, 0.2873)

(9)
Compound: Ac8MgTl2
Source: the Alexandria database
Functional: PBE
Structure: optimized geometry

Output
**Calculated formation energy**: -0.6 eV/f.u.
**SG**: Immm
**DFT total energy**: -3.619 eV/atom

a b c (Å): 9.8506 9.8506 9.8506
angles (deg): 147.15 120.96 69.23
Positions (direct):
Ac (0.1169, 0.3397, 0.7771)
Ac (0.1419, 0.1419, 0.0000)
Ac (0.3177, 0.0000, 0.3177)
Ac (0.4374, 0.6603, 0.7771)
Ac (0.5626, 0.3397, 0.2229)
Ac (0.6823, 0.0000, 0.6823)
Ac (0.8581, 0.8581, 0.0000)
Ac (0.8831, 0.6603, 0.2229)
Mg (0.0000, 0.5000, 0.5000)
Tl (0.3070, 0.8070, 0.5000)
Tl (0.6930, 0.1930, 0.5000)

(10)
Compound: Ac3Mg5Tl6
Source: the Alexandria database
Functional: PBE
Structure: optimized geometry

Output
**Calculated formation energy**: -3.5 eV/f.u.
**SG**: Pmmn
**DFT total energy**: -2.713 eV/atom

a b c (Å): 4.9653 14.5727 11.1469
angles (deg): 90.00 90.00 90.00
Positions (direct):
Ac (0.2500, 0.0528, 0.2491)
Ac (0.2500, 0.4472, 0.2491)
Ac (0.2500, 0.7500, 0.2480)
Ac (0.7500, 0.2500, 0.7520)
Ac (0.7500, 0.5528, 0.7509)
Ac (0.7500, 0.9472, 0.7509)
Mg (0.2500, 0.1000, 0.8885)
Mg (0.2500, 0.4000, 0.8885)
Mg (0.2500, 0.5994, 0.5198)
Mg (0.2500, 0.7500, 0.7477)
Mg (0.2500, 0.9006, 0.5198)
Mg (0.7500, 0.0994, 0.4802)
Mg (0.7500, 0.2500, 0.2523)
Mg (0.7500, 0.4006, 0.4802)
Mg (0.7500, 0.6000, 0.1115)
Mg (0.7500, 0.9000, 0.1115)
Tl (0.2500, 0.0930, 0.6300)
Tl (0.2500, 0.2500, 0.0664)
Tl (0.2500, 0.2500, 0.4340)
Tl (0.2500, 0.4070, 0.6300)
Tl (0.2500, 0.5985, 0.9715)
Tl (0.2500, 0.9015, 0.9715)
Tl (0.7500, 0.0985, 0.0285)
Tl (0.7500, 0.4015, 0.0285)
Tl (0.7500, 0.5930, 0.3700)
Tl (0.7500, 0.7500, 0.5660)
Tl (0.7500, 0.7500, 0.9336)
Tl (0.7500, 0.9070, 0.3700)

(11)
Compound: AcMgTl3
Source: the Alexandria database
Functional: PBE
Structure: optimized geometry

Output
**Calculated formation energy**: -1.0 eV/f.u.
**SG**: Pnma
**DFT total energy**: -2.753 eV/atom

a b c (Å): 10.6354 4.9235 11.4669
angles (deg): 90.00 90.00 90.00
Positions (direct):
Ac (0.1952, 0.2500, 0.0009)
Ac (0.3048, 0.7500, 0.5009)
Ac (0.6952, 0.2500, 0.4991)
Ac (0.8048, 0.7500, 0.9991)
Mg (0.0945, 0.2500, 0.6526)
Mg (0.4055, 0.7500, 0.1526)
Mg (0.5945, 0.2500, 0.8474)
Mg (0.9055, 0.7500, 0.3474)
Tl (0.0873, 0.2500, 0.3948)
Tl (0.1042, 0.7500, 0.8104)
Tl (0.1301, 0.7500, 0.2035)
Tl (0.3699, 0.2500, 0.7035)
Tl (0.3958, 0.2500, 0.3104)
Tl (0.4127, 0.7500, 0.8948)
Tl (0.5873, 0.2500, 0.1052)
Tl (0.6042, 0.7500, 0.6896)
Tl (0.6301, 0.7500, 0.2965)
Tl (0.8699, 0.2500, 0.7965)
Tl (0.8958, 0.2500, 0.1896)
Tl (0.9127, 0.7500, 0.6052)

(12)
Compound: AcYMg2Tl4
Source: the Alexandria database
Functional: PBE
Structure: optimized geometry

Output
**Calculated formation energy**: -2.0 eV/f.u.
**SG**: R-3m
**DFT total energy**: -3.150 eV/atom

a b c (Å): 11.0310 11.0310 11.0310
angles (deg): 26.04 26.04 26.04
Positions (direct):
Ac (0.0000, 0.0000, 0.0000)
Y (0.5000, 0.5000, 0.5000)
Mg (0.2434, 0.2434, 0.2434)
Mg (0.7566, 0.7566, 0.7566)
Tl (0.1230, 0.1230, 0.1230)
Tl (0.3916, 0.3916, 0.3916)
Tl (0.6084, 0.6084, 0.6084)
Tl (0.8770, 0.8770, 0.8770)

(13)
Compound: Ac2Mg4Tl3Zn
Source: the Alexandria database
Functional: PBE
Structure: optimized geometry

Output
**Calculated formation energy**: -2.3 eV/f.u.
**SG**: P-4m2
**DFT total energy**: -2.530 eV/atom

a b c (Å): 4.8085 4.8085 11.8525
angles (deg): 90.00 90.00 90.00
Positions (direct):
Ac (0.0000, 0.5000, 0.2409)
Ac (0.5000, 0.0000, 0.7591)
Mg (0.0000, 0.0000, 0.5000)
Mg (0.0000, 0.5000, 0.8768)
Mg (0.5000, 0.0000, 0.1232)
Mg (0.5000, 0.5000, 0.5000)
Tl (0.0000, 0.0000, 0.0000)
Tl (0.0000, 0.5000, 0.6418)
Tl (0.5000, 0.0000, 0.3582)
Zn (0.5000, 0.5000, 0.0000)

(14)
Compound: AcMgTlZn
Source: the Alexandria database
Functional: PBE
Structure: optimized geometry

Output
**Calculated formation energy**: -1.0 eV/f.u.
**SG**: F-43m
**DFT total energy**: -2.578 eV/atom

a b c (Å): 7.6045 7.6045 7.6045
angles (deg): 90.00 90.00 90.00
Positions (direct):
Ac (0.0000, 0.0000, 0.0000)
Ac (0.0000, 0.5000, 0.5000)
Ac (0.5000, 0.0000, 0.5000)
Ac (0.5000, 0.5000, 0.0000)
Mg (0.0000, 0.0000, 0.5000)
Mg (0.0000, 0.5000, 0.0000)
Mg (0.5000, 0.0000, 0.0000)
Mg (0.5000, 0.5000, 0.5000)
Tl (0.2500, 0.2500, 0.7500)
Tl (0.2500, 0.7500, 0.2500)
Tl (0.7500, 0.2500, 0.2500)
Tl (0.7500, 0.7500, 0.7500)
Zn (0.2500, 0.2500, 0.2500)
Zn (0.2500, 0.7500, 0.7500)
Zn (0.7500, 0.2500, 0.7500)
Zn (0.7500, 0.7500, 0.2500)

(15)
Compound: Ac3Mg2Tl4Zn2
Source: the Alexandria database
Functional: PBE
Structure: optimized geometry

Output
**Calculated formation energy**: -2.3 eV/f.u.
**SG**: P-3m1
**DFT total energy**: -2.714 eV/atom

a b c (Å): 4.8921 4.8921 16.1071
angles (deg): 90.00 90.00 120.00
Positions (direct):
Ac (0.0000, 0.0000, 0.0000)
Ac (0.0000, 0.0000, 0.2657)
Ac (0.0000, 0.0000, 0.7343)
Mg (0.3333, 0.6667, 0.5609)
Mg (0.6667, 0.3333, 0.4391)
Tl (0.3333, 0.6667, 0.3782)
Tl (0.3333, 0.6667, 0.8778)
Tl (0.6667, 0.3333, 0.1222)
Tl (0.6667, 0.3333, 0.6218)
Zn (0.3333, 0.6667, 0.1443)
Zn (0.6667, 0.3333, 0.8557)

(16)
Compound: Ac14TmMg
Source: the Alexandria database
Functional: PBE
Structure: optimized geometry

Output
**Calculated formation energy**: 0.3 eV/f.u.
**SG**: Amm2
**DFT total energy**: -3.952 eV/atom

a b c (Å): 11.1545 7.8259 7.8259
angles (deg): 89.99 90.00 90.00
Positions (direct):
Ac (0.0000, 0.0000, 0.0000)
Ac (0.0000, 0.0008, 0.4982)
Ac (0.0000, 0.4982, 0.0008)
Ac (0.0000, 0.4994, 0.4994)
Ac (0.2550, 0.7503, 0.7503)
Ac (0.2568, 0.2489, 0.7500)
Ac (0.2568, 0.7500, 0.2489)
Ac (0.2587, 0.2491, 0.2491)
Ac (0.5000, 0.5012, 0.9967)
Ac (0.5000, 0.9967, 0.5012)
Ac (0.7413, 0.2491, 0.2491)
Ac (0.7432, 0.2489, 0.7500)
Ac (0.7432, 0.7500, 0.2489)
Ac (0.7450, 0.7503, 0.7503)
Tm (0.5000, 0.9990, 0.9990)
Mg (0.5000, 0.4999, 0.4999)

(17)
Compound: AcTmMg
Source: the Alexandria database
Functional: PBE
Structure: optimized geometry

Output
**Calculated formation energy**: 0.2 eV/f.u.
**SG**: P-6m2
**DFT total energy**: -3.310 eV/atom

a b c (Å): 5.6198 5.6198 3.6686
angles (deg): 90.00 90.00 120.00
Positions (direct):
Ac (0.0000, 0.0000, 0.0000)
Tm (0.3333, 0.6667, 0.5000)
Mg (0.6667, 0.3333, 0.5000)

(18)
Compound: AcTm2Mg
Source: the Alexandria database
Functional: PBE
Structure: optimized geometry

Output
**Calculated formation energy**: 0.4 eV/f.u.
**SG**: R3m
**DFT total energy**: -3.550 eV/atom

a b c (Å): 3.6473 3.6473 33.9168
angles (deg): 90.00 90.00 120.00
Positions (direct):
Ac (0.0000, 0.0000, 0.0000)
Ac (0.3333, 0.6667, 0.6667)
Ac (0.6667, 0.3333, 0.3333)
Tm (0.0000, 0.0000, 0.5747)
Tm (0.0000, 0.0000, 0.7578)
Tm (0.3333, 0.6667, 0.2414)
Tm (0.3333, 0.6667, 0.4245)
Tm (0.6667, 0.3333, 0.0912)
Tm (0.6667, 0.3333, 0.9081)
Mg (0.0000, 0.0000, 0.1660)
Mg (0.3333, 0.6667, 0.8327)
Mg (0.6667, 0.3333, 0.4994)

(19)
Compound: AcTm5Mg4
Source: the Alexandria database
Functional: PBE
Structure: optimized geometry

Output
**Calculated formation energy**: -0.3 eV/f.u.
**SG**: P4/mmm
**DFT total energy**: -3.314 eV/atom

a b c (Å): 3.7651 3.7651 20.1533
angles (deg): 90.00 90.00 90.00
Positions (direct):
Ac (0.0000, 0.0000, 0.0000)
Tm (0.5000, 0.5000, 0.1297)
Tm (0.5000, 0.5000, 0.3145)
Tm (0.5000, 0.5000, 0.5000)
Tm (0.5000, 0.5000, 0.6855)
Tm (0.5000, 0.5000, 0.8703)
Mg (0.0000, 0.0000, 0.2227)
Mg (0.0000, 0.0000, 0.4070)
Mg (0.0000, 0.0000, 0.5930)
Mg (0.0000, 0.0000, 0.7773)

(20)
Compound: Ac2TmMg9
Source: the Alexandria database
Functional: PBE
Structure: optimized geometry

Output
**Calculated formation energy**: -0.3 eV/f.u.
**SG**: R-3m
**DFT total energy**: -2.278 eV/atom

a b c (Å): 10.6137 10.6137 10.6137
angles (deg): 33.97 33.97 33.97
Positions (direct):
Ac (0.1406, 0.1406, 0.1406)
Ac (0.8594, 0.8594, 0.8594)
Tm (0.0000, 0.0000, 0.0000)
Mg (0.0783, 0.5814, 0.5814)
Mg (0.3338, 0.3338, 0.3338)
Mg (0.4186, 0.4186, 0.9217)
Mg (0.4186, 0.9217, 0.4186)
Mg (0.5000, 0.5000, 0.5000)
Mg (0.5814, 0.0783, 0.5814)
Mg (0.5814, 0.5814, 0.0783)
Mg (0.6662, 0.6662, 0.6662)
Mg (0.9217, 0.4186, 0.4186)